Ca3NbPd: optimized geometry, PBE.

```
5
Lattice="5.489 0.000 0.000 0.000 5.489 0.000 0.000 0.000 5.489" Properties=species:S:1:pos:R:3 pbc="T T T"
Ca 0.000 0.000 2.745
Ca 0.000 2.745 0.000
Ca 2.745 0.000 0.000
Nb 2.745 2.745 2.745
Pd 0.000 0.000 0.000
```

Values from the calculation:
The value obtained for the size of the total moment is 4.1 μB/f.u. The polymorph energy (0 for the lowest one) is 0.0 meV per atom. Its total energy is -3.8315 eV/atom. The energy relative to the elements is 0.42 eV per atom.


PmSmHoSn: optimized geometry, PBE.

```
4
Lattice="0.000 3.869 3.869 3.869 0.000 3.869 3.869 3.869 0.000" Properties=species:S:1:pos:R:3 pbc="T T T"
Pm 0.000 0.000 0.000
Sm 5.803 5.803 5.803
Ho 1.934 1.934 1.934
Sn 3.869 3.869 3.869
```

Values from the calculation:
The value obtained for the size of the total moment is 0.0 μB/f.u. Its total energy is -4.7395 eV/atom. The energy relative to the elements is -0.23 eV per atom.


RbTlInHg: optimized geometry, PBE.

```
4
Lattice="2.523 1.456 6.919 -2.523 1.456 6.919 0.000 -2.913 6.919" Properties=species:S:1:pos:R:3 pbc="T T T"
Rb 0.000 0.000 0.000
Tl 0.000 0.000 4.314
In 0.000 0.000 16.840
Hg 0.000 0.000 9.223
```

Values from the calculation:
The value obtained for the size of the total moment is 0.0 μB/f.u. The polymorph energy (0 for the lowest one) is 0.0 meV per atom. Its total energy is -1.6905 eV/atom. The energy relative to the elements is -0.10 eV per atom.


NaSr3Ir: optimized geometry, PBE.

```
10
Lattice="5.082 0.000 0.000 -2.541 4.401 0.000 0.000 0.000 21.049" Properties=species:S:1:pos:R:3 pbc="T T T"
Na 0.000 0.000 0.000
Na 0.000 0.000 10.525
Sr 0.000 0.000 5.262
Sr 0.000 0.000 15.787
Sr 0.000 2.934 2.436
Sr 0.000 2.934 8.089
Sr 2.541 1.467 12.960
Sr 2.541 1.467 18.613
Ir 0.000 2.934 5.262
Ir 2.541 1.467 15.787
```

Values from the calculation:
The value obtained for the size of the total moment is 0.0 μB/f.u. The polymorph energy (0 for the lowest one) is 316.1 meV per atom. Its total energy is -2.8519 eV/atom. The energy relative to the elements is 0.19 eV per atom.